Entry 1:
VASP calculation (PBE) on a geometry-optimized Np5UP6 structure.

Computed properties:
SG: C2/m (12)
Spin magnetization: 20.98 μB per cell
Calculated volume: 22.0 Å³/atom
DFT formation energy: -10.61 eV per formula unit

Cell: 6.8629 6.8629 6.8593 Å, 99.59 99.59 120.00°
With the nearest neighbours (Å) after each atom.
Atoms (fractional coordinates):
Np (0.6667, 0.3333, 0.0000)  6 P 2.80
Np (0.1668, 0.8332, 0.5000)  6 P 2.80
Np (0.8332, 0.1668, 0.5000)  6 P 2.80
Np (0.3333, 0.6667, 0.0000)  6 P 2.80
Np (0.5000, 0.5000, 0.5000)  6 P 2.80
P (0.4162, 0.0833, 0.2499)  1 U 2.80, 5 Np 2.80
P (0.7504, 0.7504, 0.2497)  1 U 2.80, 5 Np 2.80
P (0.9167, 0.5838, 0.7501)  1 U 2.80, 5 Np 2.80
P (0.0833, 0.4162, 0.2499)  1 U 2.80, 5 Np 2.80
P (0.5838, 0.9167, 0.7501)  1 U 2.80, 5 Np 2.80
P (0.2496, 0.2496, 0.7503)  1 U 2.80, 5 Np 2.80
U (0.0000, 0.0000, 0.0000)  6 P 2.80



Entry 2:
VASP calculation (PBE) on a geometry-optimized NaCaMg2Pt structure.

Computed properties:
SG: P4/mmm (123)
Spin magnetization: 0.00 μB per cell
Calculated volume: 29.4 Å³/atom
DFT formation energy: -1.83 eV per formula unit

Cell: 5.1779 5.1779 5.4774 Å, 90.00 90.00 90.00°
With the nearest neighbours (Å) after each atom.
Atoms (fractional coordinates):
Ca (0.0000, 0.0000, 0.5000)  2 Pt 2.74
Mg (0.5000, 0.0000, 0.0000)  2 Pt 2.59
Mg (0.0000, 0.5000, 0.0000)  2 Pt 2.59
Na (0.5000, 0.5000, 0.5000)  4 Ca 3.66, 8 Mg 3.77
Pt (0.0000, 0.0000, 0.0000)  4 Mg 2.59, 2 Ca 2.74



> Which of these has the lowest calculated volume?

Np5UP6